# ThZnIr | Alexandria | GGA-PBE | relaxed
data_ThZnIr
_cell_length_a 7.398
_cell_length_b 3.996
_cell_length_c 12.564
_cell_angle_alpha 90.00
_cell_angle_beta 90.11
_cell_angle_gamma 90.00
_space_group_name_H-M_alt 'P 1 21/m 1'
_space_group_IT_number 11
loop_
_space_group_symop_operation_xyz
'x,y,z'
'-x,-y,-z'
'-x,y+1/2,-z'
'x,-y+1/2,z'
loop_
_atom_site_label
_atom_site_fract_x
_atom_site_fract_y
_atom_site_fract_z
Th1 0.053 0.250 0.374
Th2 0.174 0.250 0.080
Th3 0.439 0.750 0.713
Zn1 0.113 0.250 0.798
Zn2 0.380 0.750 0.459
Zn3 0.495 0.250 0.921
Ir1 0.240 0.250 0.582
Ir2 0.245 0.750 0.916
Ir3 0.263 0.750 0.247
# Formation energy in eV per formula unit: -2.289
# D(E_F) in states/eV/cell: 10.3
# M_tot in μB/f.u.: 0.0

=====

# K2Tl2O3 | Alexandria | GGA-PBE | relaxed
data_K2Tl2O3
_cell_length_a 13.293
_cell_length_b 3.838
_cell_length_c 6.298
_cell_angle_alpha 90.00
_cell_angle_beta 113.44
_cell_angle_gamma 90.00
_space_group_name_H-M_alt 'C 1 2/m 1'
_space_group_IT_number 12
loop_
_space_group_symop_operation_xyz
'x,y,z'
'-x,-y,-z'
'-x,y,-z'
'x,-y,z'
'x+1/2,y+1/2,z'
'-x+1/2,-y+1/2,-z'
'-x+1/2,y+1/2,-z'
'x+1/2,-y+1/2,z'
loop_
_atom_site_label
_atom_site_fract_x
_atom_site_fract_y
_atom_site_fract_z
K1 0.127 0.000 0.304
Tl1 0.131 0.500 0.843
O1 0.000 0.500 0.000
O2 0.223 0.000 0.781
# D(E_F) in states/eV/cell: 3.9
# M_tot in μB/f.u.: 0.0
# Energy relative to the elements, uncorrected in eV per atom: -0.93

=====

# BaSrOs4 | Alexandria | GGA-PBE | relaxed
data_BaSrOs4
_cell_length_a 7.852
_cell_length_b 7.852
_cell_length_c 7.852
_cell_angle_alpha 90.00
_cell_angle_beta 90.00
_cell_angle_gamma 90.00
_space_group_name_H-M_alt 'F -4 3 m'
_space_group_IT_number 216
_space_group_name_Hall 'F -4 2 3'
loop_
_atom_site_label
_atom_site_fract_x
_atom_site_fract_y
_atom_site_fract_z
Ba1 0.000 0.000 0.000
Sr1 0.250 0.250 0.250
Os1 0.125 0.125 0.625
# Formation energy in eV per formula unit: 3.824
# D(E_F) in states/eV/cell: 29.2
# M_tot in μB/f.u.: 2.2

=====

# CeAl4Ge | Alexandria | GGA-PBE | relaxed
data_CeAl4Ge
_cell_length_a 7.803
_cell_length_b 7.803
_cell_length_c 7.803
_cell_angle_alpha 90.00
_cell_angle_beta 90.00
_cell_angle_gamma 90.00
_space_group_name_H-M_alt 'F -4 3 m'
_space_group_IT_number 216
_space_group_name_Hall 'F -4 2 3'
loop_
_atom_site_label
_atom_site_fract_x
_atom_site_fract_y
_atom_site_fract_z
Ce1 0.000 0.000 0.000
Al1 0.125 0.125 0.375
Ge1 0.250 0.250 0.750
# Formation energy in eV per formula unit: -0.566
# D(E_F) in states/eV/cell: 35.5
# M_tot in μB/f.u.: 1.1

=====

# SrZr2Rh | Alexandria | GGA-PBE | relaxed
data_SrZr2Rh
_cell_length_a 3.6388
_cell_length_b 3.6388
_cell_length_c 28.9731
_cell_angle_alpha 90.00
_cell_angle_beta 90.00
_cell_angle_gamma 120.00
_space_group_name_H-M_alt 'R -3 m'
_space_group_IT_number 166
_space_group_name_Hall '-R 3 2"'
loop_
_atom_site_label
_atom_site_fract_x
_atom_site_fract_y
_atom_site_fract_z
Sr1 0.0000 0.0000 0.0000
Zr1 0.0000 0.0000 0.2225
Rh1 0.0000 0.0000 0.5000
# Formation energy in eV per formula unit: 0.217
# Distance to the lowest polymorph of the same formula in eV/atom: 0.232
# D(E_F) in states/eV/cell: 16.9
# M_tot in μB/f.u.: 0.0

=====

# V12Si3Ni | Alexandria | GGA-PBE | relaxed
data_V12Si3Ni
_cell_length_a 4.682
_cell_length_b 4.696
_cell_length_c 9.408
_cell_angle_alpha 90.00
_cell_angle_beta 90.00
_cell_angle_gamma 90.00
_space_group_name_H-M_alt 'P m m m'
_space_group_IT_number 47
loop_
_space_group_symop_operation_xyz
'x,y,z'
'-x,-y,-z'
'-x,-y,z'
'x,y,-z'
'x,-y,-z'
'-x,y,z'
'-x,y,-z'
'x,-y,z'
loop_
_atom_site_label
_atom_site_fract_x
_atom_site_fract_y
_atom_site_fract_z
V1 0.000 0.000 0.119
V2 0.000 0.000 0.369
V3 0.251 0.500 0.250
V4 0.500 0.246 0.500
V5 0.500 0.252 0.000
Si1 0.000 0.500 0.500
Si2 0.500 0.000 0.251
Ni1 0.000 0.500 0.000
# D(E_F) in states/eV/cell: 21.6
# M_tot in μB/f.u.: 0.0
# Energy relative to the elements, uncorrected in eV per atom: -0.38

=====

Repeat the third record exactly.
# BaSrOs4 | Alexandria | GGA-PBE | relaxed
data_BaSrOs4
_cell_length_a 7.852
_cell_length_b 7.852
_cell_length_c 7.852
_cell_angle_alpha 90.00
_cell_angle_beta 90.00
_cell_angle_gamma 90.00
_space_group_name_H-M_alt 'F -4 3 m'
_space_group_IT_number 216
_space_group_name_Hall 'F -4 2 3'
loop_
_atom_site_label
_atom_site_fract_x
_atom_site_fract_y
_atom_site_fract_z
Ba1 0.000 0.000 0.000
Sr1 0.250 0.250 0.250
Os1 0.125 0.125 0.625
# Formation energy in eV per formula unit: 3.824
# D(E_F) in states/eV/cell: 29.2
# M_tot in μB/f.u.: 2.2